Record 1
The following is a PBE-GGA calculation of crystalline MgAlTc2 at its relaxed geometry, from Alexandria via LeMat-Bulk.

```
MgAlTc2
1.0
-1.565 2.223 4.420
1.565 -2.223 4.420
1.565 2.223 -4.420
Mg Al Tc
1 1 2
Direct
0.000 0.000 0.000
0.726 0.226 0.500
0.259 0.759 0.500
0.482 0.482 0.000
```

Properties
The size of the total moment is 0.00 μB per cell. The space group is Imm2 (44). The value obtained for the formation energy is -18 meV per atom. The calculation puts the energy above the most stable polymorph in this dataset at 156 meV per atom.

***

Record 2
The following is a PBE-GGA calculation of crystalline MgAlTc2 at its relaxed geometry, from Alexandria via LeMat-Bulk.

```
MgAlTc2
1.0
2.713 -4.329 0.000
2.713 4.329 0.000
-0.834 0.000 2.576
Mg Al Tc
1 1 2
Direct
0.000 0.000 0.000
0.500 0.500 0.000
0.000 0.500 0.500
0.500 0.000 0.500
```

Properties
The size of the total moment is 0.00 μB per cell. The space group is C2/m (12). The value obtained for the formation energy is 32 meV per atom. The calculation puts the energy above the most stable polymorph in this dataset at 206 meV per atom.

***

Record 3
The following is a PBE-GGA calculation of crystalline MgAlTc at its relaxed geometry, from Alexandria via LeMat-Bulk.

```
MgAlTc
1.0
0.000 2.228 6.574
1.677 0.000 6.574
1.677 2.228 0.000
Mg Al Tc
1 1 1
Direct
0.000 0.000 0.000
0.687 0.687 0.313
0.334 0.334 0.666
```

Properties
The size of the total moment is 0.00 μB per cell. The space group is Fmm2 (42). The value obtained for the formation energy is 40 meV per atom. The calculation puts the energy above the most stable polymorph in this dataset at 85 meV per atom.

***

Record 4
The following is a PBE-GGA calculation of crystalline MgAlTc4 at its relaxed geometry, from Alexandria via LeMat-Bulk.

```
MgAlTc4
1.0
0.000 3.645 3.645
3.645 0.000 3.645
3.645 3.645 0.000
Mg Al Tc
1 1 4
Direct
0.000 0.000 0.000
0.250 0.250 0.250
0.125 0.625 0.625
0.625 0.125 0.625
0.625 0.625 0.125
0.625 0.625 0.625
```

Properties
The size of the total moment is 0.00 μB per cell. The space group is F-43m (216). The value obtained for the formation energy is 152 meV per atom.

***

Record 5
The following is a PBE-GGA calculation of crystalline MgAlTc2 at its relaxed geometry, from Alexandria via LeMat-Bulk.

```
MgAlTc2
1.0
2.716 0.000 0.000
0.000 4.316 0.000
-1.031 0.000 5.167
Mg Al Tc
1 1 2
Direct
0.000 0.000 0.000
0.500 0.000 0.500
0.258 0.500 0.746
0.742 0.500 0.254
```

Properties
The size of the total moment is 0.00 μB per cell. The space group is P2/m (10). The value obtained for the formation energy is 31 meV per atom. The calculation puts the energy above the most stable polymorph in this dataset at 205 meV per atom.

***

Record 6
The following is a PBE-GGA calculation of crystalline MgAl2Tc at its relaxed geometry, from Alexandria via LeMat-Bulk.

```
MgAl2Tc
1.0
4.269 0.000 0.000
0.000 4.269 0.000
0.000 0.000 3.388
Mg Al Tc
1 2 1
Direct
0.000 0.000 0.000
0.000 0.500 0.500
0.500 0.000 0.500
0.500 0.500 0.000
```

Properties
The size of the total moment is 0.00 μB per cell. The space group is P4/mmm (123). The value obtained for the formation energy is -123 meV per atom.

***

Record 7
The following is a PBE-GGA calculation of crystalline MgAlTc2 at its relaxed geometry, from Alexandria via LeMat-Bulk.

```
MgAlTc2
1.0
4.718 0.000 0.000
0.000 4.718 0.000
0.000 0.000 2.712
Mg Al Tc
1 1 2
Direct
0.000 0.000 0.000
0.500 0.500 0.000
0.000 0.500 0.500
0.500 0.000 0.500
```

Properties
The size of the total moment is 0.00 μB per cell. The space group is P4/mmm (123). The value obtained for the formation energy is 131 meV per atom. The calculation puts the energy above the most stable polymorph in this dataset at 305 meV per atom.

***

Record 8
The following is a PBE-GGA calculation of crystalline MgAlTc2 at its relaxed geometry, from Alexandria via LeMat-Bulk.

```
MgAlTc2
1.0
2.734 -4.185 0.000
2.734 4.185 0.000
0.000 0.000 2.670
Mg Al Tc
1 1 2
Direct
0.000 0.000 0.000
0.500 0.500 0.000
0.000 0.500 0.500
0.500 0.000 0.500
```

Properties
The size of the total moment is 0.69 μB per cell. The space group is Cmmm (65). The value obtained for the formation energy is 124 meV per atom. The calculation puts the energy above the most stable polymorph in this dataset at 298 meV per atom.

***

no.,ρ (g/cm³)
1,6.67
2,6.79
3,5.05
4,7.60
5,6.78
6,4.74
7,6.80
8,6.72